No. 1
A plane-wave DFT calculation with PBE was carried out for NaMn2AuSe after structural relaxation.

Cell: 4.9949 4.9949 5.2688 Å, 90.00 90.00 90.00°
Positions (direct):
Na 0.0000 0.0000 0.0000
Mn 0.0000 0.5000 0.5000
Mn 0.5000 0.0000 0.5000
Au 0.0000 0.0000 0.5000
Se 0.5000 0.5000 0.0000

Final energy: -4.82 eV per atom
M_tot: 9.15 μB per formula unit

***

No. 2
A plane-wave DFT calculation with PBE was carried out for Al2AsCl after structural relaxation.

Cell: 4.6655 4.6655 7.1816 Å, 113.82 113.82 48.20°
Positions (direct):
Al 0.1356 0.1356 0.3670
Al 0.8644 0.8644 0.6330
As 0.5000 0.5000 0.5000
Cl 0.0000 0.0000 0.0000

Polymorph energy (0 for the lowest one): 0 meV per atom
M_tot: 0.00 μB per formula unit

***

No. 3
A plane-wave DFT calculation with PBE was carried out for Li4In2Hg3 after structural relaxation.

Cell: 4.8653 4.8653 8.8059 Å, 92.86 92.86 57.72°
Positions (direct):
Li 0.0135 0.0135 0.3332
Li 0.3410 0.3410 0.1030
Li 0.6590 0.6590 0.8970
Li 0.9865 0.9865 0.6668
In 0.3201 0.3201 0.7757
In 0.6799 0.6799 0.2243
Hg 0.0000 0.0000 0.0000
Hg 0.3402 0.3402 0.4168
Hg 0.6598 0.6598 0.5832

M_tot: 0.00 μB per formula unit
ΔE_f: -0.283 eV/atom

***

No. 4
A plane-wave DFT calculation with PBE was carried out for Ce5PuGe5 after structural relaxation.

Cell: 7.2607 7.2607 8.3736 Å, 106.70 106.70 48.29°
Positions (direct):
Ce 0.0000 0.0000 0.0000
Ce 0.3332 0.3332 0.6662
Ce 0.3345 0.3345 0.1663
Ce 0.6655 0.6655 0.8337
Ce 0.6668 0.6668 0.3338
Pu 0.0000 0.0000 0.5000
Ge 0.1661 0.1661 0.8353
Ge 0.1668 0.1668 0.3305
Ge 0.5000 0.5000 0.5000
Ge 0.8332 0.8332 0.6695
Ge 0.8339 0.8339 0.1647

M_tot: 7.48 μB per formula unit
ΔE_f: -0.452 eV/atom

***

No. 5
A plane-wave DFT calculation with PBE was carried out for CrAsPb2 after structural relaxation.

Cell: 5.1772 5.1772 5.1772 Å, 60.00 60.00 60.00°
Positions (direct):
Cr 0.0000 0.0000 0.0000
As 0.2500 0.2500 0.2500
Pb 0.5000 0.5000 0.5000
Pb 0.7500 0.7500 0.7500

M_tot: 3.89 μB per formula unit
ΔE_f: 0.480 eV/atom

***

No. 6
A plane-wave DFT calculation with PBE was carried out for BaTc2H after structural relaxation.

Cell: 6.0355 6.0355 6.0355 Å, 125.00 125.00 81.54°
Positions (direct):
Ba 0.3750 0.6250 0.7500
Ba 0.6250 0.3750 0.2500
Tc 0.0000 0.0000 0.0000
Tc 0.0000 0.0000 0.5000
Tc 0.0000 0.5000 0.0000
Tc 0.5000 0.0000 0.5000
H 0.1250 0.8750 0.2500
H 0.8750 0.1250 0.7500

Polymorph energy (0 for the lowest one): 0 meV per atom
M_tot: 0.00 μB per formula unit

***

No. 7
A plane-wave DFT calculation with PBE was carried out for TaOs3 after structural relaxation.

Cell: 5.5746 5.5746 9.0069 Å, 90.00 90.00 120.00°
Positions (direct):
Ta 0.0000 0.0000 0.0000
Ta 0.0000 0.0000 0.5000
Ta 0.3333 0.6667 0.2500
Ta 0.6667 0.3333 0.7500
Os 0.0000 0.5000 0.0000
Os 0.0000 0.5000 0.5000
Os 0.1676 0.3352 0.7500
Os 0.1676 0.8324 0.7500
Os 0.3352 0.1676 0.2500
Os 0.5000 0.0000 0.0000
Os 0.5000 0.0000 0.5000
Os 0.5000 0.5000 0.0000
Os 0.5000 0.5000 0.5000
Os 0.6648 0.8324 0.7500
Os 0.8324 0.1676 0.2500
Os 0.8324 0.6648 0.2500

M_tot: 0.00 μB per formula unit
ΔE_f: -0.142 eV/atom

***

No. 8
A plane-wave DFT calculation with PBE was carried out for HoPaOs after structural relaxation.

Cell: 4.4590 4.4590 4.3610 Å, 90.00 90.00 120.00°
Positions (direct):
Ho 0.0000 0.0000 0.0000
Pa 0.6667 0.3333 0.5274
Os 0.3333 0.6667 0.4099

Polymorph energy (0 for the lowest one): 300 meV per atom
M_tot: 0.00 μB per formula unit
ΔE_f: 0.104 eV/atom